Here is a relaxed ReMoIr2 crystal from Alexandria via LeMat-Bulk. Energies are from GGA-PBE.

The structure in POSCAR format:
```
ReMoIr2
1.0
-0.002 -3.791 2.934
4.413 1.846 -0.302
-0.543 1.648 2.129
Mo Ir Re
1 2 1
direct
0.500 0.000 0.500 Mo
0.500 0.500 0.000 Ir
0.000 0.000 0.000 Ir
0.000 0.500 0.500 Re
```

Summary:
E   -10.487 eV per atom
Energy of formation from the pure elements   -0.236 eV/atom
Total magnetic moment   0.00 μB/f.u.
ΔE to the lowest computed polymorph   93 meV per atom
Symmetry   Cmmm, No. 65
Crystal system   orthorhombic
V   59 Å³/f.u.

Here is a relaxed HfMnSeN2 crystal from Alexandria via LeMat-Bulk. Energies are from GGA-PBE.

The structure in POSCAR format:
```
HfMnSeN2
1.0
-1.631 -2.402 -2.360
-2.320 -1.100 2.722
-3.097 3.362 -1.281
N Mn Hf Se
2 1 1 1
direct
0.000 0.500 0.000 N
0.500 0.000 0.000 N
0.000 0.000 0.000 Mn
0.500 0.500 0.500 Hf
0.000 0.000 0.500 Se
```

Summary:
E   -7.571 eV per atom
Total magnetic moment   0.59 μB/f.u.
ΔE to the lowest computed polymorph   61 meV per atom
Raw formation energy   0.281 eV per atom
Symmetry   P4/mmm, No. 123
Crystal system   tetragonal
V   66 Å³/f.u.

Here is a relaxed Cu3SnI crystal from Alexandria via LeMat-Bulk. Energies are from GGA-PBE.

The structure in POSCAR format:
```
Cu3SnI
1.0
4.988 0.000 0.000
0.000 4.988 0.000
0.000 0.000 4.988
Cu Sn I
3 1 1
direct
0.500 0.000 0.000 Cu
0.000 0.500 0.000 Cu
0.000 0.000 0.500 Cu
0.000 0.000 0.000 Sn
0.500 0.500 0.500 I
```

Summary:
E   -2.865 eV per atom
Total magnetic moment   0.00 μB/f.u.
ΔE to the lowest computed polymorph   0 meV per atom
Raw formation energy   0.704 eV per atom
Symmetry   Pm-3m, No. 221
Crystal system   cubic
V   124 Å³/f.u.

Here is a relaxed Nd6Ni2CI3 crystal from Alexandria via LeMat-Bulk. Energies are from GGA-PBE.

The structure in POSCAR format:
```
Nd6Ni2CI3
1.0
-1.722 2.535 6.356
-5.064 -1.922 -4.523
2.380 -7.522 2.351
Nd C I Ni
6 1 3 2
direct
0.252 0.252 0.819 Nd
0.939 0.627 0.821 Nd
0.061 0.373 0.179 Nd
0.748 0.748 0.181 Nd
0.627 0.939 0.821 Nd
0.373 0.061 0.179 Nd
0.000 0.000 0.000 C
0.168 0.832 0.500 I
0.500 0.500 0.500 I
0.832 0.168 0.500 I
0.666 0.334 0.000 Ni
0.334 0.666 0.000 Ni
```

Summary:
E   -5.133 eV per atom
Total magnetic moment   0.00 μB/f.u.
Raw formation energy   -0.630 eV per atom
Symmetry   C2/m, No. 12
Crystal system   monoclinic
V   340 Å³/f.u.

Here is a relaxed VPIrCl2 crystal from Alexandria via LeMat-Bulk. Energies are from GGA-PBE.

The structure in POSCAR format:
```
VPIrCl2
1.0
-3.800 -3.203 0.347
2.469 -3.240 -2.868
1.852 -1.803 3.631
P V Cl Ir
1 1 2 1
direct
0.000 0.000 0.500 P
0.500 0.500 0.500 V
0.000 0.500 0.000 Cl
0.500 0.000 0.000 Cl
0.000 0.000 0.000 Ir
```

Summary:
E   -4.570 eV per atom
Total magnetic moment   0.22 μB/f.u.
ΔE to the lowest computed polymorph   111 meV per atom
Raw formation energy   0.847 eV per atom
Symmetry   P4/mmm, No. 123
Crystal system   tetragonal
V   111 Å³/f.u.

Here is a relaxed Rb2Cd3AgSn4 crystal from Alexandria via LeMat-Bulk. Energies are from GGA-PBE.

The structure in POSCAR format:
```
Rb2Cd3AgSn4
1.0
-2.548 -1.056 4.109
-2.587 -3.412 -2.481
8.424 -8.581 3.016
Rb Sn Cd Ag
2 4 3 1
direct
0.500 0.000 0.257 Rb
0.000 0.500 0.743 Rb
0.500 0.500 0.000 Sn
0.000 0.000 0.000 Sn
0.500 0.000 0.623 Sn
0.000 0.500 0.377 Sn
0.000 0.500 0.142 Cd
0.000 0.000 0.500 Cd
0.500 0.000 0.858 Cd
0.500 0.500 0.500 Ag
```

Summary:
E   -2.464 eV per atom
Energy of formation from the pure elements   -0.110 eV/atom
Total magnetic moment   0.00 μB/f.u.
Symmetry   P-4m2, No. 115
Crystal system   tetragonal
V   304 Å³/f.u.

Number 1: density 18.68 g/cm³. Number 2: density 8.51 g/cm³. Number 3: density 5.84 g/cm³. Number 4: density 6.71 g/cm³. Number 5: density 5.18 g/cm³. Number 6: density 5.97 g/cm³.